No. 1
Entry from Alexandria: an optimized crystal structure of AlCrRu2 (PBE).

The value obtained for the magnetization is 0.7 μB per formula unit. As for the electronic total energy: -8.04 eV per atom. Its mass density is 8.6 g/cm3.

It has space group Pmmm (No. 47), with a = 2.9844 Å, b = 4.0288 Å, c = 4.5215 Å, α = 90.00°, β = 90.00° and γ = 90.00°. The distinct sites, in fractional coordinates, are Al at (0.0000, 0.0000, 0.0000), Cr at (0.5000, 0.0000, 0.5000), Ru at (0.0000, 0.5000, 0.5000) and Ru at (0.5000, 0.5000, 0.0000).

=====

No. 2
Entry from Alexandria: an optimized crystal structure of YTl2SbMo (PBE).

The value obtained for the magnetization is 2.7 μB per formula unit. Its mass density is 7.1 g/cm3. The value obtained for the formation energy from raw total energies is 0.959 eV per atom.

It has space group P4/mmm (No. 123), with a = 5.6857 Å, b = 5.6857 Å, c = 5.1423 Å, α = 90.00°, β = 90.00° and γ = 90.00°. The distinct sites, in fractional coordinates, are Y at (0.0000, 0.0000, 0.0000), Tl at (0.0000, 0.5000, 0.5000), Sb at (0.5000, 0.5000, 0.5000) and Mo at (0.5000, 0.5000, 0.0000).

=====

- Among the records above, which one has the highest magnetization?
  YTl2SbMo